First-principles (PBE) data for an optimized crystal structure of KZnBiF6, as listed in Alexandria via LeMat-Bulk.

Cell lengths 5.9091, 5.9091, 10.8653 Å; angles 90.00, 90.00, 120.00 degrees
Sites, in units of the cell vectors:
Bi1 0.3333 0.6667 0.2500
Zn1 0.3333 0.6667 0.7500
F1 0.3603 0.9740 0.6450
F2 0.6137 0.9740 0.8550
F3 0.3863 0.0260 0.1450
F4 0.6397 0.6137 0.1450
Bi2 0.6667 0.3333 0.7500
K1 0.0000 0.0000 0.0000
K2 0.0000 0.0000 0.5000
F5 0.6397 0.0260 0.3550
F6 0.0260 0.6397 0.8550
F7 0.9740 0.3603 0.1450
F8 0.3603 0.3863 0.8550
F9 0.3863 0.3603 0.3550
F10 0.9740 0.6137 0.3550
F11 0.0260 0.3863 0.6450
Zn2 0.6667 0.3333 0.2500
F12 0.6137 0.6397 0.6450

Output
spin magnetization: 0.000 μB per cell
total energy: -79.91 eV/cell
Fermi-level density of states: 0.000 states/eV per atom
ΔE_f (raw): -2497 meV per atom

First-principles (PBE) data for an optimized crystal structure of KRuRh2, as listed in Alexandria via LeMat-Bulk.

Cell lengths 4.7105, 4.7105, 6.6363 Å; angles 83.75, 83.75, 34.43 degrees
Each line ends with the local moment (μB).
Sites, in units of the cell vectors:
Ru1 0.5215 0.5215 0.3904  0.36
Rh1 0.9788 0.9788 0.0839  0.12
Rh2 0.2514 0.2514 0.2697  0.16
K1 0.7483 0.7483 0.7559  0.00

Output
spin magnetization: 0.693 μB per cell
total energy: -22.50 eV/cell
energy above the most stable polymorph in this dataset: 20.3 kJ/mol of atoms
Fermi-level density of states: 1.586 states/eV per atom
energy of formation from the pure elements: 0.6446 eV per atom

First-principles (PBE) data for an optimized crystal structure of Tm2Zn5Cu4, as listed in Alexandria via LeMat-Bulk.

Cell lengths 5.2034, 5.0206, 8.5528 Å; angles 80.93, 72.29, 58.79 degrees
Sites, in units of the cell vectors:
Tm1 0.1303 0.0000 0.7393
Zn1 0.7500 0.5000 0.5000
Cu1 0.2137 0.3125 0.2601
Zn2 0.2500 0.5000 0.5000
Cu2 0.5262 0.6875 0.2601
Cu3 0.7863 0.6875 0.7399
Zn3 0.0000 0.5000 0.0000
Tm2 0.8697 0.0000 0.2607
Zn4 0.5000 0.0000 0.0000
Zn5 0.5000 0.5000 0.0000
Cu4 0.4738 0.3125 0.7399

Output
spin magnetization: 0.000 μB per cell
total energy: -34.36 eV/cell
Fermi-level density of states: 0.408 states/eV per atom
energy of formation from the pure elements: -0.2422 eV per atom

First-principles (PBE) data for an optimized crystal structure of CoReMo4, as listed in Alexandria via LeMat-Bulk.

Cell lengths 5.1171, 5.1171, 5.1171 Å; angles 60.00, 60.00, 60.00 degrees
Each line ends with the local moment (μB).
Sites, in units of the cell vectors:
Mo1 0.3746 0.3746 0.8764  0.00
Re1 0.7500 0.7500 0.7500  -0.02
Mo2 0.8764 0.3746 0.3746  0.00
Co1 0.0000 0.0000 0.0000  1.47
Mo3 0.3746 0.8764 0.3746  0.00
Mo4 0.3746 0.3746 0.3746  0.00

Output
spin magnetization: 1.361 μB per cell
total energy: -60.02 eV/cell
Fermi-level density of states: 1.144 states/eV per atom
energy of formation from the pure elements: 0.4765 eV per atom

First-principles (PBE) data for an optimized crystal structure of LaCoAg2, as listed in Alexandria via LeMat-Bulk.

Cell lengths 3.4383, 3.4383, 6.8559 Å; angles 90.00, 90.00, 90.02 degrees
Each line ends with the local moment (μB).
Sites, in units of the cell vectors:
La1 0.5000 0.5000 0.7174  -0.18
Co1 0.0000 0.0000 0.4658  1.08
Ag1 0.5000 0.5000 0.2654  -0.02
Ag2 0.0000 0.0000 0.0514  -0.01

Output
spin magnetization: 0.670 μB per cell
total energy: -17.23 eV/cell
Fermi-level density of states: 0.898 states/eV per atom
energy of formation from the pure elements: 0.1259 eV per atom

First-principles (PBE) data for an optimized crystal structure of CrCuMo2, as listed in Alexandria via LeMat-Bulk.

Cell lengths 6.7772, 6.7772, 5.4582 Å; angles 51.62, 51.62, 90.00 degrees
Sites, in units of the cell vectors:
Mo1 0.1470 0.6250 0.2500
Cr1 0.5000 0.5000 0.0000
Cu1 0.7500 0.2500 0.5000
Cu2 0.0000 0.0000 0.0000
Cr2 0.2500 0.7500 0.5000
Mo2 0.8750 0.8530 0.7500
Mo3 0.6030 0.1250 0.2500
Mo4 0.3750 0.3970 0.7500

Output
spin magnetization: 0.000 μB per cell
total energy: -64.74 eV/cell
energy above the most stable polymorph in this dataset: 56.0 kJ/mol of atoms
Fermi-level density of states: 1.062 states/eV per atom
energy of formation from the pure elements: 0.7526 eV per atom

First-principles (PBE) data for an optimized crystal structure of BH3Pd, as listed in Alexandria via LeMat-Bulk.

Cell lengths 3.4872, 3.4872, 3.4872 Å; angles 90.00, 90.00, 90.00 degrees
Sites, in units of the cell vectors:
B1 0.5000 0.5000 0.5000
H1 0.0000 0.5000 0.0000
H2 0.5000 0.0000 0.0000
Pd1 0.0000 0.0000 0.0000
H3 0.0000 0.0000 0.5000

Output
spin magnetization: 0.000 μB per cell
total energy: -17.17 eV/cell
energy above the most stable polymorph in this dataset: 10.6 kJ/mol of atoms
Fermi-level density of states: 0.159 states/eV per atom

Look up the total energy of the fourth one.
-60.02 eV/cell

Which of these has the lowest total energy?
KZnBiF6